w) Sn2GeBi: optimized geometry, PBE-GGA.

Calculated values
Density of states at the Fermi level (states/eV per cell): 2.0
SG: Fm-3m, No. 225

Unit cell a=5.328 b=5.328 c=5.328 alpha=60.00 beta=60.00 gamma=60.00
Sites, in units of the cell vectors:
Sn 0.750 0.750 0.750
Sn 0.250 0.250 0.250
Ge 0.000 0.000 0.000
Bi 0.500 0.500 0.500



x) Sn2GeBi: optimized geometry, PBE-GGA.

Calculated values
Density of states at the Fermi level (states/eV per cell): 2.4
SG: R-3m, No. 166

Unit cell a=4.171 b=4.171 c=7.806 alpha=74.51 beta=74.51 gamma=60.00
Sites, in units of the cell vectors:
Bi 0.500 0.500 0.500
Ge 0.000 0.000 0.000
Sn 0.262 0.262 0.215
Sn 0.738 0.738 0.785



y) Sn2GeBi: optimized geometry, PBE-GGA.

Calculated values
Density of states at the Fermi level (states/eV per cell): 2.6
SG: P4/mmm, No. 123

Unit cell a=4.957 b=4.668 c=4.668 alpha=90.00 beta=90.00 gamma=90.00
Sites, in units of the cell vectors:
Bi 0.500 0.500 0.500
Ge 0.500 0.000 0.000
Sn 0.000 0.500 0.000
Sn 0.000 0.000 0.500



z) Sn2GeBi: optimized geometry, PBE-GGA.

Calculated values
Density of states at the Fermi level (states/eV per cell): 4.0
SG: I-42d, No. 122

Unit cell a=6.666 b=6.666 c=8.075 alpha=65.62 beta=65.62 gamma=90.00
Sites, in units of the cell vectors:
Sn 0.375 0.414 0.750
Sn 0.875 0.836 0.750
Sn 0.164 0.625 0.250
Sn 0.586 0.125 0.250
Bi 0.750 0.250 0.500
Bi 0.000 0.000 0.000
Ge 0.500 0.500 0.000
Ge 0.250 0.750 0.500



Which structure wins on stability? x) wins.



w) Sn2GeBi: optimized geometry, PBE-GGA.

Calculated values
Density of states at the Fermi level (states/eV per cell): 2.6
SG: R3m, No. 160

Unit cell a=4.142 b=4.142 c=7.946 alpha=74.89 beta=74.89 gamma=60.00
Sites, in units of the cell vectors:
Bi 0.499 0.499 0.504
Sn 0.262 0.262 0.213
Sn 0.072 0.072 0.784
Ge 0.667 0.667 0.000



x) Sn2GeBi: optimized geometry, PBE-GGA.

Calculated values
Density of states at the Fermi level (states/eV per cell): 2.0
SG: P4/mmm, No. 123

Unit cell a=3.670 b=3.670 c=7.829 alpha=90.00 beta=90.00 gamma=90.00
Sites, in units of the cell vectors:
Bi 0.500 0.500 0.500
Ge 0.500 0.500 0.000
Sn 0.000 0.000 0.785
Sn 0.000 0.000 0.215



Which structure wins on stability? w) wins.



w) SnGe2Bi: optimized geometry, PBE-GGA.

Calculated values
Density of states at the Fermi level (states/eV per cell): 1.8
SG: Fm-3m, No. 225

Unit cell a=5.168 b=5.168 c=5.168 alpha=60.00 beta=60.00 gamma=60.00
Sites, in units of the cell vectors:
Bi 0.500 0.500 0.500
Ge 0.750 0.750 0.750
Ge 0.250 0.250 0.250
Sn 0.000 0.000 0.000



x) SnGe2Bi: optimized geometry, PBE-GGA.

Calculated values
Density of states at the Fermi level (states/eV per cell): 4.1
SG: I-42d, No. 122

Unit cell a=6.427 b=6.427 c=7.881 alpha=65.93 beta=65.93 gamma=90.00
Sites, in units of the cell vectors:
Sn 0.500 0.500 0.000
Sn 0.250 0.750 0.500
Bi 0.000 0.000 0.000
Bi 0.750 0.250 0.500
Ge 0.606 0.125 0.250
Ge 0.144 0.625 0.250
Ge 0.875 0.856 0.750
Ge 0.375 0.394 0.750



Which structure wins on stability? x) wins.



w) Sr2GeBi: optimized geometry, PBE-GGA.

Calculated values
Density of states at the Fermi level (states/eV per cell): 1.6
SG: P4/mmm, No. 123

Unit cell a=3.707 b=3.707 c=9.210 alpha=90.00 beta=90.00 gamma=90.00
Sites, in units of the cell vectors:
Bi 0.500 0.500 0.500
Sr 0.000 0.000 0.777
Sr 0.000 0.000 0.223
Ge 0.500 0.500 0.000



x) Sr2GeBi: optimized geometry, PBE-GGA.

Calculated values
Density of states at the Fermi level (states/eV per cell): 2.7
SG: Fm-3m, No. 225

Unit cell a=5.690 b=5.690 c=5.690 alpha=60.00 beta=60.00 gamma=60.00
Sites, in units of the cell vectors:
Sr 0.750 0.750 0.750
Sr 0.250 0.250 0.250
Bi 0.500 0.500 0.500
Ge 0.000 0.000 0.000



y) Sr2GeBi: optimized geometry, PBE-GGA.

Calculated values
Density of states at the Fermi level (states/eV per cell): 8.2
SG: I-42d, No. 122

Unit cell a=8.832 b=8.832 c=7.183 alpha=52.07 beta=52.07 gamma=90.00
Sites, in units of the cell vectors:
Bi 0.000 0.000 0.000
Bi 0.750 0.250 0.500
Sr 0.606 0.125 0.250
Sr 0.375 0.394 0.750
Sr 0.875 0.856 0.750
Sr 0.144 0.625 0.250
Ge 0.500 0.500 0.000
Ge 0.250 0.750 0.500



Which structure wins on stability? w) wins.



w) Sr2Ge2Bi: optimized geometry, PBE-GGA.

Calculated values
Density of states at the Fermi level (states/eV per cell): 4.9
SG: I4/mmm, No. 139

Unit cell a=5.573 b=5.573 c=6.734 alpha=65.56 beta=65.56 gamma=90.00
Sites, in units of the cell vectors:
Ge 0.605 0.605 0.790
Ge 0.395 0.395 0.210
Sr 0.250 0.750 0.500
Sr 0.750 0.250 0.500
Bi 0.000 0.000 0.000



x) Sr2Ge2Bi: optimized geometry, PBE-GGA.

Calculated values
Density of states at the Fermi level (states/eV per cell): 1.9
SG: Cmmm, No. 65

Unit cell a=4.607 b=4.211 c=7.916 alpha=105.43 beta=90.00 gamma=90.00
Sites, in units of the cell vectors:
Sr 0.500 0.630 0.261
Sr 0.500 0.370 0.739
Ge 0.000 0.201 0.403
Ge 0.000 0.799 0.597
Bi 0.000 0.000 0.000



y) Sr2Ge2Bi: optimized geometry, PBE-GGA.

Calculated values
Density of states at the Fermi level (states/eV per cell): 2.6
SG: P4/mbm, No. 127

Unit cell a=7.945 b=7.945 c=4.655 alpha=90.00 beta=90.00 gamma=90.00
Sites, in units of the cell vectors:
Sr 0.179 0.679 0.500
Sr 0.321 0.179 0.500
Sr 0.679 0.821 0.500
Sr 0.821 0.321 0.500
Ge 0.113 0.387 0.000
Ge 0.887 0.613 0.000
Ge 0.387 0.887 0.000
Ge 0.613 0.113 0.000
Bi 0.000 0.000 0.000
Bi 0.500 0.500 0.000



Which structure wins on stability? x) wins.



w) SrGeBi3: optimized geometry, PBE-GGA.

Calculated values
Density of states at the Fermi level (states/eV per cell): 5.5
SG: Pm-3m, No. 221

Unit cell a=5.633 b=5.633 c=5.633 alpha=90.00 beta=90.00 gamma=90.00
Sites, in units of the cell vectors:
Bi 0.000 0.500 0.000
Bi 0.000 0.000 0.500
Bi 0.500 0.000 0.000
Sr 0.500 0.500 0.500
Ge 0.000 0.000 0.000



x) SrGeBi3: optimized geometry, PBE-GGA.

Calculated values
Density of states at the Fermi level (states/eV per cell): 4.7
SG: Pm-3m, No. 221

Unit cell a=6.042 b=6.042 c=6.042 alpha=90.00 beta=90.00 gamma=90.00
Sites, in units of the cell vectors:
Ge 0.500 0.500 0.500
Sr 0.000 0.000 0.000
Bi 0.500 0.000 0.000
Bi 0.000 0.500 0.000
Bi 0.000 0.000 0.500



Which structure wins on stability? w) wins.



w) Ta2GeBi: optimized geometry, PBE-GGA.

Calculated values
Density of states at the Fermi level (states/eV per cell): 14.0
SG: I-42d, No. 122

Unit cell a=4.150 b=4.150 c=10.400 alpha=78.49 beta=78.49 gamma=90.00
Sites, in units of the cell vectors:
Bi 0.750 0.250 0.500
Bi 0.000 0.000 0.000
Ta 0.604 0.125 0.250
Ta 0.875 0.854 0.750
Ta 0.146 0.625 0.250
Ta 0.375 0.396 0.750
Ge 0.250 0.750 0.500
Ge 0.500 0.500 0.000



x) Ta2GeBi: optimized geometry, PBE-GGA.

Calculated values
Density of states at the Fermi level (states/eV per cell): 2.7
SG: Fm-3m, No. 225

Unit cell a=4.776 b=4.776 c=4.776 alpha=60.00 beta=60.00 gamma=60.00
Sites, in units of the cell vectors:
Ge 0.000 0.000 0.000
Ta 0.250 0.250 0.250
Ta 0.750 0.750 0.750
Bi 0.500 0.500 0.500



Which structure wins on stability? x) wins.



w) TbGeBi: optimized geometry, PBE-GGA.

Calculated values
Density of states at the Fermi level (states/eV per cell): 4.0
SG: R-3m, No. 166

Unit cell a=5.053 b=5.053 c=8.544 alpha=72.80 beta=72.80 gamma=60.00
Sites, in units of the cell vectors:
Bi 0.368 0.368 0.897
Bi 0.632 0.632 0.103
Tb 0.776 0.776 0.673
Tb 0.224 0.224 0.327
Ge 0.104 0.104 0.687
Ge 0.896 0.896 0.313



x) TbGeBi: optimized geometry, PBE-GGA.

Calculated values
Density of states at the Fermi level (states/eV per cell): 1.8
SG: P3m1, No. 156

Unit cell a=3.844 b=4.956 c=4.956 alpha=120.00 beta=90.00 gamma=90.00
Sites, in units of the cell vectors:
Tb 0.334 0.333 0.667
Ge 0.832 0.000 0.000
Bi 0.835 0.667 0.333



y) TbGeBi: optimized geometry, PBE-GGA.

Calculated values
Density of states at the Fermi level (states/eV per cell): 2.0
SG: Cmcm, No. 63

Unit cell a=4.194 b=4.504 c=8.551 alpha=105.27 beta=90.00 gamma=90.00
Sites, in units of the cell vectors:
Ge 0.250 0.449 0.898
Ge 0.750 0.551 0.102
Tb 0.250 0.093 0.187
Tb 0.750 0.907 0.813
Bi 0.750 0.252 0.505
Bi 0.250 0.748 0.495



Which structure wins on stability? y) wins.